Compound: MnZnTe2Os
Source: Alexandria via LeMat-Bulk
Functional: PBE
Structure: optimized geometry

Output
SG: No. 123
ΔE_f (raw), eV/atom: 1.11
Final energy, eV/atom: -4.4859
Energy above the most stable polymorph in this dataset, eV per atom: 0.000
DOS(E_F), states/eV per atom: 0.9647

Cell: 5.0218 4.5601 5.0218 Å, 90.00 90.00 90.00°
Last column: nearest neighbours and their distance in Å.
Element x y z (fractional)
Os (0.0000, 0.5000, 0.0000)  2 Mn 2.28
Zn (0.5000, 0.5000, 0.5000)  8 Te 3.39, 4 Os 3.55
Te (0.5000, 0.0000, 0.0000)  2 Mn 2.51
Te (0.0000, 0.0000, 0.5000)  2 Mn 2.51
Mn (0.0000, 0.0000, 0.0000)  2 Os 2.28, 4 Te 2.51

***

Compound: MnZnTe2Os
Source: Alexandria via LeMat-Bulk
Functional: PBE
Structure: optimized geometry

Output
SG: No. 123
ΔE_f (raw), eV/atom: 1.51
Final energy, eV/atom: -4.0795
Energy above the most stable polymorph in this dataset, eV per atom: 0.406
DOS(E_F), states/eV per atom: 0.9071

Cell: 5.0430 4.4884 5.0430 Å, 90.00 90.00 90.00°
Last column: nearest neighbours and their distance in Å.
Element x y z (fractional)
Te (0.0000, 0.0000, 0.5000)  2 Zn 2.52
Te (0.5000, 0.0000, 0.0000)  2 Zn 2.52
Zn (0.0000, 0.0000, 0.0000)  2 Mn 2.24
Mn (0.0000, 0.5000, 0.0000)  2 Zn 2.24
Os (0.5000, 0.5000, 0.5000)  8 Te 3.38, 4 Mn 3.57

***

Compound: ZrMn2TeOs
Source: Alexandria via LeMat-Bulk
Functional: PBE
Structure: optimized geometry

Output
SG: No. 123
ΔE_f (raw), eV/atom: 1.82
Final energy, eV/atom: -6.4329
DOS(E_F), states/eV per atom: 1.6714

Cell: 4.4700 5.1923 4.4700 Å, 90.00 90.00 90.00°
Last column: nearest neighbours and their distance in Å.
Element x y z (fractional)
Os (0.5000, 0.5000, 0.5000)  4 Zr 3.16, 8 Mn 3.43
Mn (0.0000, 0.0000, 0.5000)  2 Te 2.23
Mn (0.5000, 0.0000, 0.0000)  2 Te 2.23
Te (0.0000, 0.0000, 0.0000)  4 Mn 2.23
Zr (0.0000, 0.5000, 0.0000)  2 Te 2.60